The following is a PBE calculation of KTlIr2 after structural relaxation, from Alexandria.

Cell lengths 4.216, 4.216, 4.405 Å; angles 90.00, 90.00, 90.00 degrees
Space group P4/mmm (No. 123)
Asymmetric unit:
K (0.000, 0.000, 0.000) [1 per cell]
Tl (0.500, 0.500, 0.000) [1 per cell]
Ir (0.000, 0.500, 0.500) [2 per cell]

- D(E_F): 5.53 states/eV per cell
- ΔH_f (0 K): 23.282 kcal/mol of atoms
- Polymorph energy (0 for the lowest one): 16.09 kcal/mol of atoms
- VASP energy: -4.287 eV/atom